The following is a GGA-PBEsol calculation of an optimized crystal structure of RuPtAu3, from Alexandria via LeMat-Bulk.

Cell: 4.9100 4.9100 4.9100 Å, 90.00 90.00 90.00°
With the nearest neighbours (Å) after each atom.
Fractional positions:
Ru 0.0000 0.0000 0.0000  12 Au 3.47
Pt 0.5000 0.5000 0.5000  6 Au 2.45
Au 0.0000 0.5000 0.5000  2 Pt 2.45
Au 0.5000 0.0000 0.5000  2 Pt 2.45
Au 0.5000 0.5000 0.0000  2 Pt 2.45

- V: 23.67 A^3/atom
- Calculated total energy: -20.360 eV per cell
- Magnetic moment: 3.2 μB/f.u.


The following is a GGA-PBEsol calculation of an optimized crystal structure of RuPt4Au, from Alexandria via LeMat-Bulk.

Cell: 5.1691 5.1691 5.1691 Å, 60.00 60.00 60.00°
With the nearest neighbours (Å) after each atom.
Fractional positions:
Ru 0.0000 0.0000 0.0000  12 Pt 3.03, 4 Au 3.17
Pt 0.1249 0.6250 0.6250  6 Pt 2.58-2.59
Pt 0.6250 0.1249 0.6250  6 Pt 2.58-2.59
Pt 0.6250 0.6250 0.1249  6 Pt 2.58-2.59
Pt 0.6250 0.6250 0.6250  6 Pt 2.58-2.59
Au 0.2500 0.2500 0.2500  12 Pt 3.03, 4 Ru 3.17

- V: 16.28 A^3/atom
- Calculated total energy: -39.340 eV per cell
- Magnetic moment: 3.2 μB/f.u.


The following is a GGA-PBEsol calculation of an optimized crystal structure of RuPt2Au, from Alexandria via LeMat-Bulk.

Cell: 2.7538 2.7538 7.9282 Å, 90.00 90.00 90.00°
With the nearest neighbours (Å) after each atom.
Fractional positions:
Ru 0.0000 0.0000 0.0000  8 Pt 2.67, 4 Ru 2.75
Pt 0.5000 0.5000 0.2306  4 Ru 2.67, 4 Pt 2.75, 4 Au 2.89
Pt 0.5000 0.5000 0.7694  4 Ru 2.67, 4 Pt 2.75, 4 Au 2.89
Au 0.0000 0.0000 0.5000  4 Au 2.75, 8 Pt 2.89

- V: 15.03 A^3/atom
- Energy above the lowest structure with this stoichiometry: 0.0 meV/atom
- Calculated total energy: -27.874 eV per cell
- Magnetic moment: 0.0 μB/f.u.


The following is a GGA-PBEsol calculation of an optimized crystal structure of Ru2PtAu, from Alexandria via LeMat-Bulk.

Cell: 4.3748 4.3748 4.3748 Å, 60.00 60.00 60.00°
With the nearest neighbours (Å) after each atom.
Fractional positions:
Ru 0.2500 0.2500 0.2500  4 Au 2.68, 4 Pt 2.68
Ru 0.7500 0.7500 0.7500  4 Au 2.68, 4 Pt 2.68
Pt 0.0000 0.0000 0.0000  8 Ru 2.68
Au 0.5000 0.5000 0.5000  8 Ru 2.68

- V: 14.80 A^3/atom
- Calculated total energy: -29.151 eV per cell
- Magnetic moment: 0.0 μB/f.u.


The following is a GGA-PBEsol calculation of an optimized crystal structure of RuPt2Au, from Alexandria via LeMat-Bulk.

Cell: 9.2500 9.2500 9.2500 Å, 17.15 17.15 17.15°
With the nearest neighbours (Å) after each atom.
Fractional positions:
Ru 0.0000 0.0000 0.0000  6 Pt 2.68, 6 Ru 2.76
Pt 0.2546 0.2546 0.2546  3 Ru 2.68, 6 Pt 2.76, 3 Au 2.88
Pt 0.7454 0.7454 0.7454  3 Ru 2.68, 6 Pt 2.76, 3 Au 2.88
Au 0.5000 0.5000 0.5000  6 Au 2.76, 6 Pt 2.88

- V: 15.02 A^3/atom
- Energy above the lowest structure with this stoichiometry: 21.8 meV/atom
- Calculated total energy: -27.787 eV per cell
- Magnetic moment: 0.0 μB/f.u.


The following is a GGA-PBEsol calculation of an optimized crystal structure of SbPt2Au, from Alexandria via LeMat-Bulk.

Cell: 3.7216 3.7216 5.3085 Å, 90.00 90.00 90.00°
With the nearest neighbours (Å) after each atom.
Fractional positions:
Sb 0.0000 0.0000 0.0000  6 Pt 2.64-2.71
Pt 0.0000 0.0000 0.4969  2 Sb 2.64-2.67, 4 Au 2.70
Pt 0.5000 0.5000 0.8748  2 Au 2.60-2.71, 4 Sb 2.71
Au 0.5000 0.5000 0.3853  6 Pt 2.60-2.71

- V: 18.38 A^3/atom
- ΔE_f (raw): -0.062 eV/atom
- Calculated total energy: -22.656 eV per cell
- Magnetic moment: 0.0 μB/f.u.


- Which value of magnetic moment does entry 3 give?
  0.0 μB/f.u.